! CaLaBr4, relaxed, DFT PBE-GGA; values from VASP
&SYSTEM
  ibrav = 0, nat = 6, ntyp = 3
/
ATOMIC_SPECIES
Ca 40.08 Ca.upf
La 138.91 La.upf
Br 79.90 Br.upf
CELL_PARAMETERS angstrom
-3.352 -2.523 4.897
-5.753 -2.704 -1.085
-0.699 -6.393 0.473
ATOMIC_POSITIONS crystal
Ca 0.750 0.750 0.750
La 0.000 0.000 0.000
Br 0.875 0.375 0.375
Br 0.375 0.375 0.875
Br 0.375 0.875 0.375
Br 0.375 0.375 0.375
! Total energy (eV per atom): -2.75
! Space group: F-43m (216)
! Mass density (g/cm³): 4.4
! Energy relative to the elements, uncorrected (eV per atom): -0.477
! Magnetization (μB/cell): 1.102

=====

! Ca2LaBr, relaxed, DFT PBE-GGA; values from VASP
&SYSTEM
  ibrav = 0, nat = 4, ntyp = 3
/
ATOMIC_SPECIES
Ca 40.08 Ca.upf
Br 79.90 Br.upf
La 138.91 La.upf
CELL_PARAMETERS angstrom
5.890 0.000 0.000
2.945 5.101 0.000
2.945 1.700 4.809
ATOMIC_POSITIONS crystal
Ca 0.000 0.000 0.000
Ca 0.250 0.250 0.250
Br 0.500 0.500 0.500
La 0.750 0.750 0.750
! Total energy (eV per atom): -2.74
! Space group: F-43m (216)
! Mass density (g/cm³): 3.4
! Energy relative to the elements, uncorrected (eV per atom): -0.091
! E above lowest polymorph (meV/atom): 594.8
! Magnetization (μB/cell): 1.279

=====

! CaLaBr, relaxed, DFT PBE-GGA; values from VASP
&SYSTEM
  ibrav = 0, nat = 3, ntyp = 3
/
ATOMIC_SPECIES
Ca 40.08 Ca.upf
Br 79.90 Br.upf
La 138.91 La.upf
CELL_PARAMETERS angstrom
-1.360 4.215 -2.905
-3.585 -2.329 3.128
1.158 2.646 3.297
ATOMIC_POSITIONS crystal
Ca 0.667 0.333 0.282
Br 0.000 0.000 0.920
La 0.333 0.667 0.799
! Total energy (eV per atom): -3.36
! Space group: P3m1 (156)
! Mass density (g/cm³): 4.0
! Energy relative to the elements, uncorrected (eV per atom): -0.491
! E above lowest polymorph (meV/atom): 363.2
! Magnetization (μB/cell): 0.000

=====

! Ca2LaBr, relaxed, DFT PBE-GGA; values from VASP
&SYSTEM
  ibrav = 0, nat = 4, ntyp = 3
/
ATOMIC_SPECIES
Ca 40.08 Ca.upf
Br 79.90 Br.upf
La 138.91 La.upf
CELL_PARAMETERS angstrom
3.829 0.000 0.000
0.000 6.108 0.000
0.000 0.000 6.101
ATOMIC_POSITIONS crystal
Ca 0.000 0.000 0.000
Ca 0.500 0.500 0.000
Br 0.000 0.500 0.500
La 0.500 0.000 0.500
! Total energy (eV per atom): -2.98
! Space group: Pmmm (47)
! Mass density (g/cm³): 3.5
! Energy relative to the elements, uncorrected (eV per atom): -0.330
! E above lowest polymorph (meV/atom): 355.8
! Magnetization (μB/cell): 0.001

=====

! CaLa3Br, relaxed, DFT PBE-GGA; values from VASP
&SYSTEM
  ibrav = 0, nat = 5, ntyp = 3
/
ATOMIC_SPECIES
Ca 40.08 Ca.upf
Br 79.90 Br.upf
La 138.91 La.upf
CELL_PARAMETERS angstrom
5.795 0.000 0.000
0.000 5.795 0.000
0.000 0.000 5.795
ATOMIC_POSITIONS crystal
Ca 0.500 0.500 0.500
Br 0.000 0.000 0.000
La 0.000 0.500 0.000
La 0.000 0.000 0.500
La 0.500 0.000 0.000
! Total energy (eV per atom): -4.06
! Space group: Pm-3m (221)
! Mass density (g/cm³): 4.6
! Energy relative to the elements, uncorrected (eV per atom): -0.371
! E above lowest polymorph (meV/atom): 0.0
! Magnetization (μB/cell): 0.000

=====

! Ca2LaBr, relaxed, DFT PBE-GGA; values from VASP
&SYSTEM
  ibrav = 0, nat = 4, ntyp = 3
/
ATOMIC_SPECIES
Ca 40.08 Ca.upf
Br 79.90 Br.upf
La 138.91 La.upf
CELL_PARAMETERS angstrom
-2.292 -0.823 -6.635
-3.777 -5.663 -1.904
0.112 4.923 5.071
ATOMIC_POSITIONS crystal
Ca 0.000 0.000 0.000
Ca 0.250 0.750 0.500
Br 0.750 0.250 0.500
La 0.500 0.500 0.000
! Total energy (eV per atom): -2.86
! Space group: I-4m2 (119)
! Mass density (g/cm³): 3.4
! Energy relative to the elements, uncorrected (eV per atom): -0.210
! E above lowest polymorph (meV/atom): 475.6
! Magnetization (μB/cell): 0.001

=====

! CaLaBr, relaxed, DFT PBE-GGA; values from VASP
&SYSTEM
  ibrav = 0, nat = 3, ntyp = 3
/
ATOMIC_SPECIES
Ca 40.08 Ca.upf
Br 79.90 Br.upf
La 138.91 La.upf
CELL_PARAMETERS angstrom
3.883 0.000 0.000
-1.942 3.363 0.000
0.000 0.000 7.711
ATOMIC_POSITIONS crystal
Ca 0.667 0.333 0.298
Br 0.000 0.000 0.006
La 0.333 0.667 0.696
! Total energy (eV per atom): -3.72
! Space group: P3m1 (156)
! Mass density (g/cm³): 4.3
! Energy relative to the elements, uncorrected (eV per atom): -0.854
! E above lowest polymorph (meV/atom): 0.0
! Magnetization (μB/cell): 0.006

=====

! Ca2LaBr, relaxed, DFT PBE-GGA; values from VASP
&SYSTEM
  ibrav = 0, nat = 4, ntyp = 3
/
ATOMIC_SPECIES
Ca 40.08 Ca.upf
Br 79.90 Br.upf
La 138.91 La.upf
CELL_PARAMETERS angstrom
-5.320 0.137 4.023
2.796 -0.175 3.704
0.181 4.640 0.082
ATOMIC_POSITIONS crystal
Ca 0.000 0.000 0.000
Ca 0.000 0.500 0.500
Br 0.500 0.000 0.500
La 0.500 0.500 0.000
! Total energy (eV per atom): -2.87
! Space group: P4/mmm (123)
! Mass density (g/cm³): 3.5
! Energy relative to the elements, uncorrected (eV per atom): -0.222
! E above lowest polymorph (meV/atom): 463.3
! Magnetization (μB/cell): 0.001

=====

! CaLaBr, relaxed, DFT PBE-GGA; values from VASP
&SYSTEM
  ibrav = 0, nat = 3, ntyp = 3
/
ATOMIC_SPECIES
Ca 40.08 Ca.upf
Br 79.90 Br.upf
La 138.91 La.upf
CELL_PARAMETERS angstrom
-6.658 1.173 3.765
-2.840 0.427 7.185
5.217 1.747 -5.442
ATOMIC_POSITIONS crystal
Ca 0.349 0.349 0.000
Br 0.001 0.001 0.000
La 0.650 0.650 0.000
! Total energy (eV per atom): -3.59
! Space group: I4mm (107)
! Mass density (g/cm³): 4.4
! Energy relative to the elements, uncorrected (eV per atom): -0.724
! E above lowest polymorph (meV/atom): 130.0
! Magnetization (μB/cell): 0.000

=====

! Ca2LaBr, relaxed, DFT PBE-GGA; values from VASP
&SYSTEM
  ibrav = 0, nat = 4, ntyp = 3
/
ATOMIC_SPECIES
Ca 40.08 Ca.upf
Br 79.90 Br.upf
La 138.91 La.upf
CELL_PARAMETERS angstrom
-0.779 -1.980 -3.114
3.667 0.372 0.803
-0.371 -9.283 5.994
ATOMIC_POSITIONS crystal
Ca 0.000 0.000 0.964
Ca 0.500 0.500 0.248
Br 0.500 0.500 0.759
La 0.000 0.000 0.529
! Total energy (eV per atom): -3.23
! Space group: Cmm2 (35)
! Mass density (g/cm³): 3.5
! Energy relative to the elements, uncorrected (eV per atom): -0.583
! E above lowest polymorph (meV/atom): 102.3
! Magnetization (μB/cell): 0.000

=====

! Ca2LaBr, relaxed, DFT PBE-GGA; values from VASP
&SYSTEM
  ibrav = 0, nat = 4, ntyp = 3
/
ATOMIC_SPECIES
Ca 40.08 Ca.upf
Br 79.90 Br.upf
La 138.91 La.upf
CELL_PARAMETERS angstrom
7.200 0.007 -0.001
3.450 6.319 -0.004
-4.408 -4.708 3.203
ATOMIC_POSITIONS crystal
Ca 0.047 0.047 0.000
Ca 0.745 0.245 0.500
Br 0.249 0.750 0.500
La 0.458 0.458 0.000
! Total energy (eV per atom): -3.11
! Space group: Imm2 (44)
! Mass density (g/cm³): 3.4
! Energy relative to the elements, uncorrected (eV per atom): -0.460
! E above lowest polymorph (meV/atom): 224.9
! Magnetization (μB/cell): 0.002

=====

! CaLaBr4, relaxed, DFT PBE-GGA; values from VASP
&SYSTEM
  ibrav = 0, nat = 6, ntyp = 3
/
ATOMIC_SPECIES
Ca 40.08 Ca.upf
La 138.91 La.upf
Br 79.90 Br.upf
CELL_PARAMETERS angstrom
-3.771 -1.160 0.583
1.125 -5.760 -4.182
2.124 -3.615 6.550
ATOMIC_POSITIONS crystal
Ca 0.000 0.000 0.000
La 0.500 0.000 0.500
Br 0.500 0.228 0.846
Br 0.500 0.772 0.154
Br 0.000 0.244 0.317
Br 0.000 0.756 0.683
! Total energy (eV per atom): -4.13
! Space group: P2/m (10)
! Mass density (g/cm³): 3.7
! Energy relative to the elements, uncorrected (eV per atom): -1.857
! Magnetization (μB/cell): 0.308

=====

! Ca2LaBr, relaxed, DFT PBE-GGA; values from VASP
&SYSTEM
  ibrav = 0, nat = 4, ntyp = 3
/
ATOMIC_SPECIES
Ca 40.08 Ca.upf
Br 79.90 Br.upf
La 138.91 La.upf
CELL_PARAMETERS angstrom
-0.119 -6.106 -1.412
4.509 0.897 -4.261
2.638 -0.665 2.651
ATOMIC_POSITIONS crystal
Ca 0.000 0.000 0.000
Ca 0.500 0.500 0.000
Br 0.000 0.500 0.500
La 0.500 0.000 0.500
! Total energy (eV per atom): -2.90
! Space group: P4/mmm (123)
! Mass density (g/cm³): 3.3
! Energy relative to the elements, uncorrected (eV per atom): -0.249
! E above lowest polymorph (meV/atom): 436.1
! Magnetization (μB/cell): 0.000

=====

! CaLa4Br, relaxed, DFT PBE-GGA; values from VASP
&SYSTEM
  ibrav = 0, nat = 6, ntyp = 3
/
ATOMIC_SPECIES
Ca 40.08 Ca.upf
La 138.91 La.upf
Br 79.90 Br.upf
CELL_PARAMETERS angstrom
4.251 2.358 4.861
-2.020 0.119 6.569
2.788 -4.351 4.533
ATOMIC_POSITIONS crystal
Ca 0.000 0.000 0.000
La 0.369 0.892 0.369
La 0.892 0.369 0.369
La 0.369 0.369 0.892
La 0.369 0.369 0.369
Br 0.750 0.750 0.750
! Total energy (eV per atom): -3.75
! Space group: F-43m (216)
! Mass density (g/cm³): 4.9
! Energy relative to the elements, uncorrected (eV per atom): 0.142
! Magnetization (μB/cell): 1.850

=====

! Ca2LaBr, relaxed, DFT PBE-GGA; values from VASP
&SYSTEM
  ibrav = 0, nat = 4, ntyp = 3
/
ATOMIC_SPECIES
Ca 40.08 Ca.upf
Br 79.90 Br.upf
La 138.91 La.upf
CELL_PARAMETERS angstrom
3.681 0.000 0.000
0.000 3.681 0.000
0.000 0.000 10.168
ATOMIC_POSITIONS crystal
Ca 0.000 0.000 0.780
Ca 0.000 0.000 0.220
Br 0.500 0.500 0.000
La 0.500 0.500 0.500
! Total energy (eV per atom): -3.24
! Space group: P4/mmm (123)
! Mass density (g/cm³): 3.6
! Energy relative to the elements, uncorrected (eV per atom): -0.585
! E above lowest polymorph (meV/atom): 100.7
! Magnetization (μB/cell): 0.000